Here is a relaxed Pm3Tm4Mg4 crystal from Alexandria. Energies are from PBE-GGA.

a = 9.745 Å, b = 9.745 Å, c = 9.745 Å
α = 147.54°, β = 138.03°, γ = 54.04°
Element x y z (fractional)
Pm: 0.000 0.000 0.000
Pm: 0.390 0.890 0.500
Pm: 0.610 0.110 0.500
Tm: 0.052 0.314 0.739
Tm: 0.425 0.686 0.739
Tm: 0.575 0.314 0.261
Tm: 0.948 0.686 0.261
Mg: 0.173 0.173 0.000
Mg: 0.283 0.500 0.783
Mg: 0.717 0.500 0.217
Mg: 0.827 0.827 0.000

Values from the calculation:
Space group: Immm
Energy of formation: 0.10 eV/atom


Here is a relaxed In2FeTc crystal from Alexandria. Energies are from PBE-GGA.

a = 4.600 Å, b = 4.600 Å, c = 4.600 Å
α = 60.00°, β = 60.00°, γ = 60.00°
Element x y z (fractional)
In: 0.000 0.000 0.000
In: 0.250 0.250 0.250
Fe: 0.500 0.500 0.500
Tc: 0.750 0.750 0.750

Values from the calculation:
Offset from the most stable computed form: 0.272 eV per atom
Space group: F-43m
Energy of formation: 0.50 eV/atom


Here is a relaxed Li3Np3MoN8 crystal from Alexandria. Energies are from PBE-GGA.

a = 6.336 Å, b = 6.336 Å, c = 6.336 Å
α = 63.33°, β = 63.33°, γ = 63.33°
Element x y z (fractional)
Li: 0.000 0.500 0.500
Li: 0.500 0.000 0.500
Li: 0.500 0.500 0.000
Np: 0.000 0.000 0.500
Np: 0.000 0.500 0.000
Np: 0.500 0.000 0.000
Mo: 0.500 0.500 0.500
N: 0.239 0.239 0.239
N: 0.252 0.726 0.726
N: 0.274 0.274 0.748
N: 0.274 0.748 0.274
N: 0.726 0.252 0.726
N: 0.726 0.726 0.252
N: 0.748 0.274 0.274
N: 0.761 0.761 0.761

Values from the calculation:
Space group: R-3m
E_form (uncorrected): -733 meV per atom


How do the records compare in magnetic moment? In the order shown, they have 0.00; 3.03; 6.03 μB per formula unit.
How do the records compare in D(E_F)? In the order shown, they have 10.868; 2.312; 14.915 states/eV/cell.
How do the records compare in calculated total energy? In the order shown, they have -3.400; -5.581; -8.866 eV per atom.